# 1
VASP calculation (GGA-PBE) on CsYHo4S8 after structural relaxation.

Calculated values
The electronic total energy is -84.68 eV for the cell shown. Its space group is R3m. As for the formation energy from raw total energies: -1.859 eV per atom.

Unit cell a=8.340 b=8.340 c=8.340 alpha=59.62 beta=59.62 gamma=59.62
Sites, in units of the cell vectors:
1 Cs 0.000 0.000 0.000
2 Y 0.367 0.367 0.367
3 Ho 0.368 0.368 0.886
4 Ho 0.368 0.886 0.368
5 Ho 0.747 0.747 0.747
6 Ho 0.886 0.368 0.368
7 S 0.142 0.142 0.558
8 S 0.142 0.558 0.142
9 S 0.143 0.616 0.616
10 S 0.145 0.145 0.145
11 S 0.558 0.142 0.142
12 S 0.616 0.143 0.616
13 S 0.616 0.616 0.143
14 S 0.616 0.616 0.616

=====

# 2
VASP calculation (GGA-PBE) on K2Nb3H11C5Cl6O8 after structural relaxation.

Calculated values
The electronic total energy is -403.74 eV for the cell shown. Its space group is P-1.

Unit cell a=9.647 b=9.747 c=12.842 alpha=76.91 beta=79.46 gamma=81.82
Sites, in units of the cell vectors:
1 K 0.202 0.453 0.145
2 K 0.220 0.458 0.773
3 K 0.780 0.542 0.227
4 K 0.798 0.547 0.855
5 Nb 0.339 0.143 0.438
6 Nb 0.349 0.893 0.613
7 Nb 0.487 0.872 0.393
8 Nb 0.513 0.128 0.607
9 Nb 0.651 0.107 0.387
10 Nb 0.661 0.857 0.562
11 H 0.001 0.697 0.009
12 H 0.028 0.796 0.199
13 H 0.035 0.357 0.488
14 H 0.046 0.098 0.914
15 H 0.057 0.902 0.808
16 H 0.139 0.837 0.071
17 H 0.251 0.179 0.047
18 H 0.275 0.713 0.293
19 H 0.386 0.142 0.939
20 H 0.433 0.162 0.063
21 H 0.450 0.366 0.918
22 H 0.550 0.634 0.082
23 H 0.567 0.838 0.937
24 H 0.614 0.858 0.061
25 H 0.725 0.287 0.707
26 H 0.749 0.821 0.953
27 H 0.861 0.163 0.929
28 H 0.943 0.098 0.192
29 H 0.954 0.902 0.086
30 H 0.965 0.643 0.512
31 H 0.972 0.204 0.801
32 H 0.999 0.303 0.991
33 C 0.032 0.812 0.111
34 C 0.068 0.377 0.399
35 C 0.091 0.789 0.806
36 C 0.358 0.200 0.005
37 C 0.381 0.692 0.245
38 C 0.619 0.308 0.755
39 C 0.642 0.800 0.995
40 C 0.909 0.211 0.194
41 C 0.932 0.623 0.601
42 C 0.968 0.188 0.889
43 Cl 0.133 0.044 0.563
44 Cl 0.294 0.017 0.301
45 Cl 0.306 0.722 0.507
46 Cl 0.327 0.322 0.551
47 Cl 0.337 0.022 0.762
48 Cl 0.490 0.297 0.290
49 Cl 0.510 0.703 0.710
50 Cl 0.663 0.978 0.238
51 Cl 0.673 0.678 0.449
52 Cl 0.694 0.278 0.492
53 Cl 0.706 0.983 0.699
54 Cl 0.867 0.956 0.437
55 O 0.001 0.316 0.911
56 O 0.002 0.474 0.339
57 O 0.027 0.695 0.874
58 O 0.177 0.298 0.362
59 O 0.195 0.761 0.734
60 O 0.355 0.351 0.964
61 O 0.390 0.632 0.167
62 O 0.486 0.733 0.274
63 O 0.514 0.267 0.726
64 O 0.610 0.368 0.833
65 O 0.645 0.649 0.036
66 O 0.805 0.239 0.266
67 O 0.823 0.702 0.638
68 O 0.973 0.305 0.126
69 O 0.998 0.526 0.661
70 O 0.999 0.684 0.089

=====

# 3
VASP calculation (GGA-PBE) on LiTmThSn after structural relaxation.

Calculated values
The calculation puts the energy of formation from the pure elements at -21.8 kJ/mol of atoms. The electronic total energy is -74.85 eV for the cell shown. Its space group is F-43m.

Unit cell a=7.465 b=7.465 c=7.465 alpha=90.00 beta=90.00 gamma=90.00
Sites, in units of the cell vectors:
1 Li 0.000 0.000 0.000
2 Li 0.000 0.500 0.500
3 Li 0.500 0.000 0.500
4 Li 0.500 0.500 0.000
5 Tm 0.250 0.250 0.250
6 Tm 0.250 0.750 0.750
7 Tm 0.750 0.250 0.750
8 Tm 0.750 0.750 0.250
9 Th 0.250 0.250 0.750
10 Th 0.250 0.750 0.250
11 Th 0.750 0.250 0.250
12 Th 0.750 0.750 0.750
13 Sn 0.000 0.000 0.500
14 Sn 0.000 0.500 0.000
15 Sn 0.500 0.000 0.000
16 Sn 0.500 0.500 0.500

=====

# 4
VASP calculation (GGA-PBE) on BaSrHgGe after structural relaxation.

Calculated values
The calculation puts the energy of formation from the pure elements at -52.3 kJ/mol of atoms. The electronic total energy is -42.77 eV for the cell shown. Its space group is F-43m.

Unit cell a=8.075 b=8.075 c=8.075 alpha=90.00 beta=90.00 gamma=90.00
Sites, in units of the cell vectors:
1 Ba 0.000 0.000 0.000
2 Ba 0.000 0.500 0.500
3 Ba 0.500 0.000 0.500
4 Ba 0.500 0.500 0.000
5 Sr 0.000 0.000 0.500
6 Sr 0.000 0.500 0.000
7 Sr 0.500 0.000 0.000
8 Sr 0.500 0.500 0.500
9 Hg 0.250 0.250 0.250
10 Hg 0.250 0.750 0.750
11 Hg 0.750 0.250 0.750
12 Hg 0.750 0.750 0.250
13 Ge 0.250 0.250 0.750
14 Ge 0.250 0.750 0.250
15 Ge 0.750 0.250 0.250
16 Ge 0.750 0.750 0.750

=====

# 5
VASP calculation (GGA-PBE) on Ho3ErTm3Te8 after structural relaxation.

Calculated values
The electronic total energy is -76.44 eV for the cell shown. Its space group is R-3m. As for the formation energy from raw total energies: -1.307 eV per atom.

Unit cell a=8.607 b=8.607 c=8.607 alpha=59.96 beta=59.96 gamma=59.96
Sites, in units of the cell vectors:
1 Ho 0.000 0.500 0.500
2 Ho 0.500 0.000 0.500
3 Ho 0.500 0.500 0.000
4 Er 0.000 0.000 0.000
5 Tm 0.000 0.000 0.500
6 Tm 0.000 0.500 0.000
7 Tm 0.500 0.000 0.000
8 Te 0.249 0.249 0.249
9 Te 0.254 0.744 0.744
10 Te 0.256 0.256 0.746
11 Te 0.256 0.746 0.256
12 Te 0.744 0.254 0.744
13 Te 0.744 0.744 0.254
14 Te 0.746 0.256 0.256
15 Te 0.751 0.751 0.751

=====

# 6
VASP calculation (GGA-PBE) on Pm12ErIn3 after structural relaxation.

Calculated values
The calculation puts the energy of formation from the pure elements at -19.1 kJ/mol of atoms. The electronic total energy is -72.95 eV for the cell shown. Its space group is P4/mmm.

Unit cell a=4.968 b=4.968 c=20.211 alpha=90.00 beta=90.00 gamma=90.00
Sites, in units of the cell vectors:
1 Pm 0.000 0.000 0.000
2 Pm 0.000 0.000 0.246
3 Pm 0.000 0.000 0.500
4 Pm 0.000 0.000 0.754
5 Pm 0.000 0.500 0.123
6 Pm 0.000 0.500 0.370
7 Pm 0.000 0.500 0.630
8 Pm 0.000 0.500 0.877
9 Pm 0.500 0.000 0.123
10 Pm 0.500 0.000 0.370
11 Pm 0.500 0.000 0.630
12 Pm 0.500 0.000 0.877
13 Er 0.500 0.500 0.500
14 In 0.500 0.500 0.000
15 In 0.500 0.500 0.245
16 In 0.500 0.500 0.755

=====

# 7
VASP calculation (GGA-PBE) on Pm4CoPd2 after structural relaxation.

Calculated values
The calculation puts the energy of formation from the pure elements at -25.6 kJ/mol of atoms. The electronic total energy is -76.70 eV for the cell shown. Its space group is I4/mmm.

Unit cell a=5.097 b=5.097 c=14.731 alpha=90.00 beta=90.00 gamma=90.00
Sites, in units of the cell vectors:
1 Pm 0.000 0.000 0.188
2 Pm 0.000 0.000 0.812
3 Pm 0.000 0.500 0.000
4 Pm 0.000 0.500 0.500
5 Pm 0.500 0.000 0.000
6 Pm 0.500 0.000 0.500
7 Pm 0.500 0.500 0.312
8 Pm 0.500 0.500 0.688
9 Co 0.000 0.000 0.000
10 Co 0.500 0.500 0.500
11 Pd 0.000 0.000 0.377
12 Pd 0.000 0.000 0.623
13 Pd 0.500 0.500 0.123
14 Pd 0.500 0.500 0.877

=====

# 8
VASP calculation (GGA-PBE) on TlInCo2 after structural relaxation.

Calculated values
The calculation puts the energy of formation from the pure elements at 35.6 kJ/mol of atoms. The electronic total energy is -17.84 eV for the cell shown. Its space group is Pm.

Unit cell a=3.552 b=4.055 c=5.197 alpha=90.00 beta=109.78 gamma=90.00
Sites, in units of the cell vectors:
1 Tl 0.000 0.000 0.000
2 In 0.308 0.500 0.619
3 Co 0.599 0.500 0.200
4 Co 0.717 0.000 0.436

=====

- electronic total energy of number 3 (LiTmThSn)?
  -74.85 eV for the cell shown

=====

- Look up the electronic total energy of the first one.
  -84.68 eV for the cell shown

=====

- Among the records above, which one has the highest electronic total energy?
  TlInCo2